VASP calculation (GGA-PBE) on crystalline La3HoSc3Se8 at its relaxed geometry.

Calculated values
For the uncorrected formation energy, the calculation gives -1.83 eV/atom. The energy is -6.25 eV per atom. For the total magnetic moment, the calculation gives 0.000 μB per formula unit.

Geometry as POSCAR:
```
La3HoSc3Se8
1.0
8.0505 0.0000 0.0000
-4.0252 6.9734 -0.0245
0.0000 -4.6245 6.8494
La Se Sc Ho
3 8 3 1
direct
0.0000 0.0000 0.0000
0.5000 0.5000 0.0000
0.0000 0.5000 0.0000
0.7497 0.4994 0.2715
0.2607 0.5214 0.2823
0.7393 0.4786 0.7177
0.2505 0.9783 0.7288
0.7277 0.9783 0.7288
0.2723 0.0217 0.2712
0.2503 0.5006 0.7285
0.7495 0.0217 0.2712
0.0000 0.5000 0.5000
0.5000 0.5000 0.5000
0.5000 0.0000 0.5000
0.0000 0.0000 0.5000
```